# 1
Here is a relaxed Ac2CeCo2 crystal from Alexandria. Energies are from PBE.

a b c (Å): 12.3222 6.4834 7.9511
angles (deg): 90.00 116.70 90.00
With the nearest neighbours (Å) after each atom.
Space group C2/c (No. 15)
One atom of each set of equivalent atoms:
Ac 0.1549 0.1329 0.2308  2 Co 2.95-3.05
Ce 0.0000 0.3758 0.7500  2 Co 2.24
Co 0.0789 0.3411 0.5475  1 Ce 2.24

Output
Formation energy from the elements (meV/atom): -80
DOS(E_F) (states/eV/atom): 1.03
Energy (eV/atom): -5.7526

***

# 2
Here is a relaxed Pm2HfUAs4 crystal from Alexandria. Energies are from PBE.

a b c (Å): 7.0599 4.0695 7.1161
angles (deg): 90.00 109.00 90.00
With the nearest neighbours (Å) after each atom.
Space group P2/m (No. 10)
One atom of each set of equivalent atoms:
Pm 0.0000 0.0000 0.0000  6 As 2.94
Pm 0.5000 0.5000 0.0000  6 As 3.00
Hf 0.0000 0.5000 0.5000  6 As 2.77-2.79
U 0.5000 0.0000 0.5000  6 As 2.84-2.86
As 0.2358 0.0000 0.7275  2 Hf 2.79, 1 U 2.84, 3 Pm 2.94-3.00
As 0.2472 0.5000 0.2663  1 Hf 2.77, 2 U 2.86, 3 Pm 2.94-3.00

Output
Formation energy from the elements (meV/atom): -1181
DOS(E_F) (states/eV/atom): 0.96
Energy (eV/atom): -7.3487

***

- Which value of energy does entry 2 give?
  -7.3487 eV/atom

***

- Which of these has the highest DOS(E_F)?
  Ac2CeCo2